! AgSe2N PBE optimized geometry; values from VASP
&SYSTEM
  ibrav = 0, nat = 4, ntyp = 3
/
ATOMIC_SPECIES
Se 78.96 Se.upf
Ag 107.87 Ag.upf
N 14.01 N.upf
CELL_PARAMETERS angstrom
1.885 -0.088 6.321
5.351 -0.411 3.836
3.501 3.397 4.440
ATOMIC_POSITIONS angstrom
Se 1.014 0.274 1.378
Se 9.723 2.625 13.219
Ag 5.368 1.449 7.298
N 0.000 0.000 0.000
! Spin magnetization in μB per cell: 0.000
! Uncorrected formation energy in eV/atom: 0.618
! Calculated density in g cm⁻³: 4.80
! DFT total energy in eV for the cell shown: -15.67

=====

! LaInTc2 PBE optimized geometry; values from VASP
&SYSTEM
  ibrav = 0, nat = 4, ntyp = 3
/
ATOMIC_SPECIES
La 138.91 La.upf
In 114.82 In.upf
Tc 98.00 Tc.upf
CELL_PARAMETERS angstrom
3.134 0.000 0.000
0.000 3.134 0.000
0.000 0.000 8.352
ATOMIC_POSITIONS angstrom
La 1.567 1.567 6.523
In 0.000 0.000 3.787
Tc 0.000 0.000 0.445
Tc 1.567 1.567 1.774
! Spin magnetization in μB per cell: 0.000
! Calculated density in g cm⁻³: 9.10
! Formation enthalpy at 0 K in eV/atom: -0.03
! DFT total energy in eV for the cell shown: -28.51

=====

! Pm2Si4Ru PBE optimized geometry; values from VASP
&SYSTEM
  ibrav = 0, nat = 7, ntyp = 3
/
ATOMIC_SPECIES
Si 28.09 Si.upf
Pm 145.00 Pm.upf
Ru 101.07 Ru.upf
CELL_PARAMETERS angstrom
6.062 -0.287 0.000
-0.381 6.056 0.000
-2.840 -2.885 4.046
ATOMIC_POSITIONS angstrom
Si 1.653 1.679 0.000
Si 2.840 2.885 1.688
Si 0.000 0.000 2.358
Si 4.028 4.090 0.000
Pm -0.191 3.028 2.023
Pm 3.031 -0.143 2.023
Ru 6.061 -0.286 0.000
! Spin magnetization in μB per cell: 0.000
! Uncorrected formation energy in eV/atom: -0.491
! Calculated density in g cm⁻³: 5.64
! DFT total energy in eV for the cell shown: -43.90

=====

! Ba2ThCdAu6 PBE optimized geometry; values from VASP
&SYSTEM
  ibrav = 0, nat = 10, ntyp = 4
/
ATOMIC_SPECIES
Ba 137.33 Ba.upf
Au 196.97 Au.upf
Cd 112.41 Cd.upf
Th 232.04 Th.upf
CELL_PARAMETERS angstrom
7.818 0.000 0.000
0.001 7.818 0.000
3.909 3.909 5.528
ATOMIC_POSITIONS angstrom
Ba 7.819 3.909 2.764
Ba 3.910 7.818 2.764
Au 9.821 9.820 5.529
Au 5.911 1.907 0.000
Au 7.819 7.818 2.698
Au 1.908 5.911 0.000
Au 3.909 3.909 2.831
Au 1.908 1.907 0.000
Cd 0.000 0.000 0.000
Th 3.909 3.909 0.000
! Spin magnetization in μB per cell: 0.000
! Calculated density in g cm⁻³: 8.85
! Formation enthalpy at 0 K in eV/atom: -0.29
! DFT total energy in eV for the cell shown: -34.77

=====

! SiSb2TeAu PBE optimized geometry; values from VASP
&SYSTEM
  ibrav = 0, nat = 5, ntyp = 4
/
ATOMIC_SPECIES
Sb 121.76 Sb.upf
Te 127.60 Te.upf
Au 196.97 Au.upf
Si 28.09 Si.upf
CELL_PARAMETERS angstrom
-2.338 2.849 3.852
-4.015 -3.503 0.154
2.697 -2.925 3.801
ATOMIC_POSITIONS angstrom
Sb -2.008 -1.752 0.077
Sb -1.169 1.425 1.926
Te 1.348 -1.462 1.900
Au 0.000 0.000 0.000
Si -1.828 -1.789 3.903
! Spin magnetization in μB per cell: 0.000
! Uncorrected formation energy in eV/atom: 0.890
! Calculated density in g cm⁻³: 6.33
! DFT total energy in eV for the cell shown: -15.64

=====

! AgH3S PBE optimized geometry; values from VASP
&SYSTEM
  ibrav = 0, nat = 5, ntyp = 3
/
ATOMIC_SPECIES
Ag 107.87 Ag.upf
H 1.01 H.upf
S 32.06 S.upf
CELL_PARAMETERS angstrom
3.691 0.000 0.000
0.000 3.691 0.000
0.000 0.000 3.691
ATOMIC_POSITIONS angstrom
Ag 0.000 0.000 0.000
H 1.845 0.000 0.000
H 0.000 1.845 0.000
H 0.000 0.000 1.845
S 1.845 1.845 1.845
! Spin magnetization in μB per cell: 0.000
! Calculated density in g cm⁻³: 4.72
! DFT total energy in eV for the cell shown: -12.27

=====

Q: Which formula does entry 2 have?
A: LaInTc2